Material: CdGa2Rh2
Method: DFT, GGA-PBEsol
State: relaxed

DFT total energy in eV/atom: -5.336

Geometry as CIF:
```
data_CdGa2Rh2
_chemical_formula_sum 'Cd2 Ga4 Rh4'
_space_group_name_H-M_alt 'P 4/m b m'
_space_group_IT_number 127
_space_group_name_Hall '-P 4 2ab'
_cell_length_a 7.189
_cell_length_b 7.189
_cell_length_c 2.912
_cell_angle_alpha 90.00
_cell_angle_beta 90.00
_cell_angle_gamma 90.00
loop_
_atom_site_label
_atom_site_type_symbol
_atom_site_fract_x
_atom_site_fract_y
_atom_site_fract_z
Cd1 Cd 0.000 0.000 0.000
Ga1 Ga 0.149 0.351 0.500
Rh1 Rh 0.146 0.646 0.000
```

Material: Sr2CdGaRu
Method: DFT, GGA-PBEsol
State: relaxed

DFT total energy in eV/atom: -3.282

Geometry as CIF:
```
data_Sr2CdGaRu
_chemical_formula_sum 'Sr2 Cd1 Ga1 Ru1'
_space_group_name_H-M_alt 'P 4/m m m'
_space_group_IT_number 123
_space_group_name_Hall '-P 4 2'
_cell_length_a 5.444
_cell_length_b 5.444
_cell_length_c 5.178
_cell_angle_alpha 90.00
_cell_angle_beta 90.00
_cell_angle_gamma 90.00
loop_
_atom_site_label
_atom_site_type_symbol
_atom_site_fract_x
_atom_site_fract_y
_atom_site_fract_z
Sr1 Sr 0.000 0.500 0.000
Cd1 Cd 0.000 0.000 0.500
Ga1 Ga 0.500 0.500 0.500
Ru1 Ru 0.000 0.000 0.000
```

Material: CdGaSb2
Method: DFT, GGA-PBEsol
State: relaxed

Raw formation energy in eV per formula unit: 0.16

Geometry as CIF:
```
data_CdGaSb2
_chemical_formula_sum 'Cd4 Ga4 Sb8'
_space_group_name_H-M_alt 'I -4 2 d'
_space_group_IT_number 122
_space_group_name_Hall 'I -4 2bw'
_cell_length_a 6.347
_cell_length_b 6.347
_cell_length_c 12.122
_cell_angle_alpha 90.00
_cell_angle_beta 90.00
_cell_angle_gamma 90.00
loop_
_atom_site_label
_atom_site_type_symbol
_atom_site_fract_x
_atom_site_fract_y
_atom_site_fract_z
Cd1 Cd 0.000 0.000 0.000
Ga1 Ga 0.000 0.000 0.500
Sb1 Sb 0.231 0.250 0.625
```

Number 1: M_tot 0.0 μB/f.u.. Number 2: M_tot 0.0 μB/f.u.. Number 3: M_tot 0.0 μB/f.u..